Entry 1:
Here is CrPdSN2 after structural relaxation from the Alexandria database. Energies are from PBE-GGA.

```
5
Lattice="3.920 0.000 0.000 0.000 3.920 0.000 0.000 0.000 5.023" Properties=species:S:1:pos:R:3 pbc="T T T"
Cr 0.000 0.000 0.000
Pd 1.960 1.960 2.512
S 1.960 1.960 0.000
N 0.000 1.960 2.512
N 1.960 0.000 2.512
```

Results
Its space-group type is P4/mmm. The calculation puts the polymorph energy (0 for the lowest one) at 824.6 meV per atom. For the calculated volume, the calculation gives 15.4 Å³ per atom. The calculation puts the formation energy (no corrections) at 1.3407 eV per atom. The density of states at the Fermi level is 2.5 states/eV/f.u.

Entry 2:
Here is CrSb2PdN after structural relaxation from the Alexandria database. Energies are from PBE-GGA.

```
5
Lattice="4.929 0.000 0.000 0.000 4.929 0.000 0.000 0.000 4.751" Properties=species:S:1:pos:R:3 pbc="T T T"
Cr 0.000 0.000 0.000
Sb 0.000 2.465 0.000
Sb 2.465 0.000 0.000
Pd 0.000 0.000 2.376
N 2.465 2.465 2.376
```

Results
Its space-group type is P4/mmm. For the calculated volume, the calculation gives 23.1 Å³ per atom. The calculation puts the formation energy (no corrections) at 1.5060 eV per atom. The density of states at the Fermi level is 4.2 states/eV/f.u.

Entry 3:
Here is ScCr2PdN after structural relaxation from the Alexandria database. Energies are from PBE-GGA.

```
5
Lattice="3.816 0.000 0.000 0.000 3.816 0.000 0.000 0.000 4.442" Properties=species:S:1:pos:R:3 pbc="T T T"
Sc 0.000 0.000 0.000
Cr 0.000 1.908 2.221
Cr 1.908 0.000 2.221
Pd 1.908 1.908 0.000
N 0.000 0.000 2.221
```

Results
Its space-group type is P4/mmm. For the calculated volume, the calculation gives 12.9 Å³ per atom. The calculation puts the formation energy (no corrections) at -0.5244 eV per atom. The density of states at the Fermi level is 4.0 states/eV/f.u.

Entry 4:
Here is Sc2CrPdN after structural relaxation from the Alexandria database. Energies are from PBE-GGA.

```
5
Lattice="4.471 0.000 0.000 0.000 4.471 0.000 0.000 0.000 3.766" Properties=species:S:1:pos:R:3 pbc="T T T"
Sc 0.000 2.236 0.000
Sc 2.236 0.000 0.000
Cr 0.000 0.000 1.883
Pd 2.236 2.236 1.883
N 0.000 0.000 0.000
```

Results
Its space-group type is P4/mmm. For the calculated volume, the calculation gives 15.1 Å³ per atom. The calculation puts the formation energy (no corrections) at -0.8991 eV per atom. The density of states at the Fermi level is 3.5 states/eV/f.u.

Entry 5:
Here is CrSnPd2N after structural relaxation from the Alexandria database. Energies are from PBE-GGA.

```
5
Lattice="4.392 0.000 0.000 0.000 4.392 0.000 0.000 0.000 3.747" Properties=species:S:1:pos:R:3 pbc="T T T"
Cr 0.000 0.000 0.000
Sn 2.196 2.196 0.000
Pd 0.000 2.196 1.873
Pd 2.196 0.000 1.873
N 0.000 0.000 1.873
```

Results
Its space-group type is P4/mmm. For the calculated volume, the calculation gives 14.5 Å³ per atom. The calculation puts the formation energy (no corrections) at 0.0190 eV per atom. The density of states at the Fermi level is 4.9 states/eV/f.u.

Entry 6:
Here is CrSnPdN2 after structural relaxation from the Alexandria database. Energies are from PBE-GGA.

```
5
Lattice="3.857 0.000 0.000 0.000 3.857 0.000 0.000 0.000 5.193" Properties=species:S:1:pos:R:3 pbc="T T T"
Cr 0.000 0.000 0.000
Sn 1.928 1.928 0.000
Pd 0.000 0.000 2.597
N 0.000 1.928 2.597
N 1.928 0.000 2.597
```

Results
Its space-group type is P4/mmm. For the calculated volume, the calculation gives 15.5 Å³ per atom. The calculation puts the formation energy (no corrections) at 1.7160 eV per atom. The density of states at the Fermi level is 10.1 states/eV/f.u.

Entry 7:
Here is Sr2CrPdN after structural relaxation from the Alexandria database. Energies are from PBE-GGA.

```
5
Lattice="5.430 0.000 0.000 0.000 5.430 0.000 0.000 0.000 3.782" Properties=species:S:1:pos:R:3 pbc="T T T"
Sr 0.000 2.715 0.000
Sr 2.715 0.000 0.000
Cr 0.000 0.000 1.891
Pd 2.715 2.715 1.891
N 0.000 0.000 0.000
```

Results
Its space-group type is P4/mmm. For the calculated volume, the calculation gives 22.3 Å³ per atom. The calculation puts the formation energy (no corrections) at -0.4317 eV per atom. The density of states at the Fermi level is 2.1 states/eV/f.u.

Entry 8:
Here is CrTc2PdN after structural relaxation from the Alexandria database. Energies are from PBE-GGA.

```
5
Lattice="4.037 0.000 0.000 0.000 4.037 0.000 0.000 0.000 3.915" Properties=species:S:1:pos:R:3 pbc="T T T"
Cr 0.000 0.000 0.000
Tc 0.000 2.019 1.958
Tc 2.019 0.000 1.958
Pd 2.019 2.019 0.000
N 0.000 0.000 1.958
```

Results
Its space-group type is P4/mmm. For the calculated volume, the calculation gives 12.8 Å³ per atom. The calculation puts the formation energy (no corrections) at -0.0504 eV per atom. The density of states at the Fermi level is 4.7 states/eV/f.u.